1.
Below is a relaxed structure of BaAlGa2Au4, with properties calculated at the PBE-GGA level.

```
BaAlGa2Au4
1.0
2.268 1.309 9.806
-2.268 1.309 9.806
0.000 -2.619 9.806
Ba Al Ga Au
1 1 2 4
direct
0.000 0.000 0.000
0.500 0.500 0.500
0.246 0.246 0.246
0.754 0.754 0.754
0.143 0.143 0.143
0.410 0.410 0.410
0.590 0.590 0.590
0.857 0.857 0.857
```

The space-group type is R-3m. The value obtained for the formation energy is -42.0 kJ/mol of atoms.

=====

2.
Below is a relaxed structure of RbLiHfF6, with properties calculated at the PBE-GGA level.

```
RbLiHfF6
1.0
5.502 0.000 0.000
-2.751 4.765 0.000
0.000 0.000 12.132
Rb Li Hf F
2 2 2 12
direct
0.000 0.000 0.000
0.000 0.000 0.500
0.333 0.667 0.250
0.667 0.333 0.750
0.333 0.667 0.750
0.667 0.333 0.250
0.011 0.391 0.656
0.011 0.619 0.844
0.381 0.391 0.844
0.381 0.989 0.656
0.391 0.011 0.156
0.391 0.381 0.344
0.609 0.619 0.656
0.609 0.989 0.844
0.619 0.011 0.344
0.619 0.609 0.156
0.989 0.381 0.156
0.989 0.609 0.344
```

The space-group type is P-31c. The uncorrected formation energy comes out at -3.482 eV per atom.

=====

3.
Below is a relaxed structure of Li4Ac3Sn4, with properties calculated at the PBE-GGA level.

```
Li4Ac3Sn4
1.0
-2.459 3.762 8.101
2.459 -3.762 8.101
2.459 3.762 -8.101
Li Ac Sn
4 3 4
direct
0.016 0.829 0.186
0.357 0.171 0.186
0.643 0.829 0.814
0.984 0.171 0.814
0.000 0.500 0.500
0.368 0.368 0.000
0.632 0.632 0.000
0.214 0.714 0.500
0.307 0.000 0.307
0.693 0.000 0.693
0.786 0.286 0.500
```

The space-group type is Immm. The value obtained for the formation energy is -61.4 kJ/mol of atoms.

=====

4.
Below is a relaxed structure of MgAgGePd2, with properties calculated at the PBE-GGA level.

```
MgAgGePd2
1.0
4.662 0.000 0.000
0.000 4.662 0.000
0.000 0.000 4.863
Mg Ag Ge Pd
1 1 1 2
direct
0.000 0.000 0.000
0.500 0.500 0.000
0.000 0.000 0.500
0.000 0.500 0.500
0.500 0.000 0.500
```

The space-group type is P4/mmm. The value obtained for the formation energy is 17.0 kJ/mol of atoms.

=====

5.
Below is a relaxed structure of Ca2Tb5Dy4, with properties calculated at the PBE-GGA level.

```
Ca2Tb5Dy4
1.0
6.227 0.000 0.000
-2.087 7.779 0.000
-1.055 -2.887 7.472
Ca Tb Dy
2 5 4
direct
0.181 0.228 0.136
0.819 0.772 0.864
0.000 0.500 0.500
0.373 0.958 0.765
0.452 0.313 0.597
0.548 0.687 0.403
0.627 0.042 0.235
0.091 0.855 0.330
0.274 0.592 0.954
0.726 0.408 0.046
0.909 0.145 0.670
```

The space-group type is P-1. The value obtained for the formation energy is 7.3 kJ/mol of atoms.

=====

6.
Below is a relaxed structure of AcTh2Ni6, with properties calculated at the PBE-GGA level.

```
AcTh2Ni6
1.0
7.146 0.000 0.000
-3.573 6.189 0.000
0.000 0.000 3.892
Ac Th Ni
1 2 6
direct
0.000 0.000 0.000
0.333 0.667 0.000
0.667 0.333 0.000
0.000 0.339 0.500
0.000 0.661 0.500
0.339 0.000 0.500
0.339 0.339 0.500
0.661 0.000 0.500
0.661 0.661 0.500
```

The space-group type is P6/mmm. The value obtained for the formation energy is -34.3 kJ/mol of atoms.

=====

7.
Below is a relaxed structure of NdPaTl2, with properties calculated at the PBE-GGA level.

```
NdPaTl2
1.0
3.451 0.000 0.000
0.000 3.451 0.000
0.000 0.000 9.265
Nd Pa Tl
1 1 2
direct
0.000 0.000 0.000
0.000 0.000 0.500
0.500 0.500 0.254
0.500 0.500 0.746
```

The space-group type is P4/mmm. The value obtained for the formation energy is -4.8 kJ/mol of atoms.

=====

8.
Below is a relaxed structure of Tb5Tl2Pb, with properties calculated at the PBE-GGA level.

```
Tb5Tl2Pb
1.0
-4.229 4.229 6.596
4.229 -4.229 6.596
4.229 4.229 -6.596
Tb Tl Pb
10 4 2
direct
0.000 0.000 0.000
0.003 0.503 0.807
0.196 0.003 0.500
0.304 0.804 0.807
0.497 0.304 0.500
0.500 0.500 0.000
0.503 0.696 0.500
0.696 0.196 0.193
0.804 0.997 0.500
0.997 0.497 0.193
0.145 0.355 0.500
0.355 0.855 0.209
0.645 0.145 0.791
0.855 0.645 0.500
0.250 0.250 0.000
0.750 0.750 0.000
```

The space-group type is I4/mcm. The value obtained for the formation energy is -35.0 kJ/mol of atoms.

=====

| no. | volume (Å³/f.u.) | D(E_F) (states/eV/atom) |
| --- | --- | --- |
| 1 | 175 | 0.20 |
| 2 | 159 | 0.00 |
| 3 | 300 | 0.35 |
| 4 | 106 | 0.61 |
| 5 | 362 | 1.45 |
| 6 | 172 | 1.44 |
| 7 | 110 | 1.63 |
| 8 | 236 | 0.89 |